[1]
Entry from Alexandria via LeMat-Bulk: a geometry-optimized NaSrAsAu structure (PBE).

Results
total magnetization = 0.00 μB per atom
total DFT energy (no corrections) = -3.31 eV/atom
formation energy from the elements = -0.57 eV/atom

The structure in POSCAR format:
```
NaSrAsAu
1.0
0.000 3.689 3.689
3.689 0.000 3.689
3.689 3.689 0.000
Na Sr As Au
1 1 1 1
Cartesian
0.000 0.000 0.000
3.689 3.689 3.689
1.845 1.845 1.845
5.534 5.534 5.534
```

---

[2]
Entry from Alexandria via LeMat-Bulk: a geometry-optimized AsBr2Cl structure (PBE).

Results
total magnetization = 0.35 μB per atom
total DFT energy (no corrections) = -2.07 eV/atom
offset from the most stable computed form = 921 meV/atom
ΔE_f (raw) = 0.392 eV/atom

The structure in POSCAR format:
```
AsBr2Cl
1.0
3.690 0.000 0.000
0.000 4.273 0.000
0.000 0.000 7.610
As Br Cl
1 2 1
Cartesian
0.000 0.000 0.000
0.000 2.137 3.805
1.845 0.000 3.805
1.845 2.137 0.000
```

---

[3]
Entry from Alexandria via LeMat-Bulk: a geometry-optimized Ca2ZrRh structure (PBE).

Results
total magnetization = 0.00 μB per atom
total DFT energy (no corrections) = -4.90 eV/atom
formation energy from the elements = 0.08 eV/atom
offset from the most stable computed form = 335 meV/atom

The structure in POSCAR format:
```
Ca2ZrRh
1.0
4.184 0.000 0.000
0.000 4.184 0.000
0.000 0.000 5.264
Ca Zr Rh
2 1 1
Cartesian
0.000 2.092 0.000
2.092 0.000 0.000
0.000 0.000 2.632
2.092 2.092 2.632
```

---

[4]
Entry from Alexandria via LeMat-Bulk: a geometry-optimized CaNbP2 structure (PBE).

Results
total magnetization = 0.38 μB per atom
total DFT energy (no corrections) = -6.12 eV/atom
formation energy from the elements = -0.40 eV/atom
offset from the most stable computed form = 523 meV/atom

The structure in POSCAR format:
```
CaNbP2
1.0
0.000 3.297 3.297
3.297 0.000 3.297
3.297 3.297 0.000
Ca Nb P
1 1 2
Cartesian
0.000 0.000 0.000
3.297 3.297 3.297
1.648 1.648 1.648
4.945 4.945 4.945
```

---

[5]
Entry from Alexandria via LeMat-Bulk: a geometry-optimized BaVCd3 structure (PBE).

Results
total magnetization = 0.77 μB per atom
total DFT energy (no corrections) = -2.57 eV/atom
formation energy from the elements = 0.19 eV/atom
offset from the most stable computed form = 0 meV/atom

The structure in POSCAR format:
```
BaVCd3
1.0
5.392 0.000 0.000
0.000 5.392 0.000
0.000 0.000 5.392
Ba V Cd
1 1 3
Cartesian
0.000 0.000 0.000
2.696 2.696 2.696
0.000 2.696 2.696
2.696 0.000 2.696
2.696 2.696 0.000
```

---

[6]
Entry from Alexandria via LeMat-Bulk: a geometry-optimized Li2YSc structure (PBE).

Results
total magnetization = 0.00 μB per atom
total DFT energy (no corrections) = -3.95 eV/atom
formation energy from the elements = 0.21 eV/atom
offset from the most stable computed form = 123 meV/atom

The structure in POSCAR format:
```
Li2YSc
1.0
3.622 0.000 0.000
0.000 5.211 0.000
0.000 0.000 5.223
Li Y Sc
2 1 1
Cartesian
0.000 0.000 0.000
1.811 2.606 0.000
0.000 2.606 2.611
1.811 0.000 2.611
```